! SCAN MnAgPO4, PBEsol geometry; values from VASP
&SYSTEM
  ibrav = 0, nat = 28, ntyp = 4
/
ATOMIC_SPECIES
O 16.00 O.upf
Ag 107.87 Ag.upf
Mn 54.94 Mn.upf
P 30.97 P.upf
ATOMIC_POSITIONS crystal
O 0.235 0.922 0.202
O 0.232 0.528 0.410
O 0.765 0.078 0.798
O 0.434 0.788 0.606
O 0.626 0.722 0.890
O 0.132 0.158 0.445
O 0.776 0.883 0.063
O 0.338 0.236 0.635
O 0.069 0.743 0.868
O 0.931 0.257 0.132
O 0.768 0.472 0.590
O 0.374 0.278 0.110
O 0.566 0.212 0.394
O 0.662 0.764 0.365
O 0.868 0.842 0.555
O 0.224 0.117 0.937
Ag 0.823 0.527 0.235
Ag 0.306 0.616 0.128
Ag 0.694 0.384 0.872
Ag 0.177 0.473 0.765
Mn 0.216 0.831 0.432
Mn 0.661 0.069 0.212
Mn 0.784 0.169 0.568
Mn 0.339 0.931 0.788
P 0.689 0.712 0.531
P 0.810 0.856 0.907
P 0.311 0.288 0.469
P 0.190 0.144 0.093
CELL_PARAMETERS angstrom
5.793 -0.021 -0.002
1.369 6.406 -0.021
1.715 2.178 9.200
! **V**: 12.21 Å³/atom
! **ρ**: 5.01 g cm⁻³
! **Formation energy without anion corrections**: -1.972 eV/atom
! **Raw total energy**: -14.1072 eV/atom
! **Total moment**: 20.000 Bohr magnetons per cell